{
  "formula": "Pm3Pr4Cd2",
  "functional": "PBE",
  "state": "optimized geometry",
  "lattice": [[-3.271, -0.450, 3.890], [-5.148, -3.525, -4.737], [6.204, -5.086, 1.282]],
  "species": ["Pm", "Cd", "Cd", "Pm", "Pr", "Pr", "Pr", "Pm", "Pr"],
  "frac_coords": [[0.116, 0.679, 0.231], [0.662, 0.998, 0.323], [0.338, 0.002, 0.677], [0.000, 0.000, 0.000], [0.554, 0.332, 0.107], [0.446, 0.668, 0.893], [0.778, 0.690, 0.555], [0.884, 0.321, 0.769], [0.222, 0.310, 0.445]],
  "sg": "No. 12",
  "formation_energy_ev_per_atom": -0.073
}